Model a:
Entry from Alexandria: a geometry-optimized SiSb2TeH structure (PBE).

Structure (POSCAR):
```
SiSb2TeH
1.0
-0.227 3.547 -3.871
-4.350 -2.296 -1.849
-2.987 3.175 3.084
Te H Sb Si
1 1 2 1
Cartesian
-1.493 1.587 1.542
-3.782 2.213 -1.317
-2.175 -1.148 -0.924
-0.114 1.773 -1.935
0.000 0.000 0.000
```

## Properties
Fermi-level density of states ... 3.04 states/eV/f.u.
Volume ... 29.49 Å³/atom
Crystal system ... tetragonal

Model b:
Entry from Alexandria: a geometry-optimized SiSb2TeH structure (PBE).

Structure (POSCAR):
```
SiSb2TeH
1.0
-1.152 2.478 3.488
-3.727 1.192 -2.079
-2.571 -4.251 2.171
Te H Sb Si
1 1 2 1
Cartesian
-1.286 -2.125 1.086
0.000 0.000 0.000
-1.863 0.596 -1.039
-0.576 1.239 1.744
-3.725 -0.290 1.790
```

## Properties
Fermi-level density of states ... 2.66 states/eV/f.u.
Volume ... 21.29 Å³/atom
Crystal system ... tetragonal

Which one sits at the bottom of the stability order? model a does.

Model a:
Entry from Alexandria: a geometry-optimized Sm2SbH structure (PBE).

Structure (POSCAR):
```
Sm2SbH
1.0
-2.938 -5.212 6.031
4.326 -2.918 -0.414
2.833 3.188 7.133
Sb H Sm
4 4 8
Cartesian
4.639 -1.159 7.247
3.202 -3.787 10.260
1.019 -1.155 2.490
-0.418 -3.783 5.503
0.579 -1.701 7.780
1.351 -5.292 8.064
2.870 0.350 4.686
3.642 -3.241 4.970
2.296 -4.179 3.485
0.785 -6.756 6.505
4.280 -1.273 3.982
3.436 1.815 6.245
-0.059 -3.669 8.767
1.925 -0.763 9.265
2.802 -3.873 6.999
1.419 -1.069 5.751
```

## Properties
Fermi-level density of states ... 2.67 states/eV/f.u.
Volume ... 22.33 Å³/atom
Crystal system ... monoclinic

Model b:
Entry from Alexandria: a geometry-optimized Sm2SbH structure (PBE).

Structure (POSCAR):
```
Sm2SbH
1.0
4.371 0.000 0.000
2.186 3.785 0.000
2.186 1.262 7.713
H Sb Sm
1 1 2
Cartesian
0.000 0.000 0.000
4.371 2.524 3.856
2.186 1.262 5.627
6.557 3.785 2.086
```

## Properties
Fermi-level density of states ... 4.01 states/eV/f.u.
Volume ... 31.90 Å³/atom
Crystal system ... trigonal

Which one sits at the bottom of the stability order? model b does.

Model a:
Entry from Alexandria: a geometry-optimized SnSbH3 structure (PBE).

Structure (POSCAR):
```
SnSbH3
1.0
4.077 0.000 0.000
0.000 4.077 0.000
0.000 0.000 4.077
H Sb Sn
3 1 1
Cartesian
0.000 0.000 2.038
2.038 0.000 0.000
0.000 2.038 0.000
2.038 2.038 2.038
0.000 0.000 0.000
```

## Properties
Fermi-level density of states ... 2.48 states/eV/f.u.
Volume ... 13.55 Å³/atom
Crystal system ... cubic

Model b:
Entry from Alexandria: a geometry-optimized SnSbH3 structure (PBE).

Structure (POSCAR):
```
SnSbH3
1.0
-1.167 3.913 0.500
-0.999 -0.798 3.910
3.816 0.987 1.177
Sb H Sn
1 3 1
Cartesian
0.000 0.000 0.000
1.908 0.494 0.589
-0.500 -0.399 1.955
-0.583 1.956 0.250
0.825 2.051 2.794
```

## Properties
Fermi-level density of states ... 2.51 states/eV/f.u.
Volume ... 13.92 Å³/atom
Crystal system ... cubic

Which one sits at the bottom of the stability order? model a does.